DFT (PBE with a Hubbard U) results for MgFe4P4O16 after structural relaxation.

abc: 5.197 8.543 8.872
angles: 87.33 91.80 104.27
Sites, in units of the cell vectors:
Fe1 0.609 0.851 0.459
Fe2 0.391 0.149 0.541
Fe3 0.033 0.312 0.019
Fe4 0.967 0.688 0.981
O1 0.071 0.781 0.790
O2 0.242 0.819 0.116
O3 0.758 0.181 0.884
O4 0.266 0.908 0.544
O5 0.173 0.301 0.454
O6 0.929 0.219 0.210
O7 0.328 0.256 0.940
O8 0.463 0.663 0.314
O9 0.827 0.699 0.546
O10 0.734 0.092 0.456
O11 0.537 0.337 0.686
O12 0.672 0.744 0.060
O13 0.270 0.622 0.608
O14 0.220 0.540 0.073
O15 0.730 0.378 0.392
O16 0.780 0.460 0.927
P1 0.106 0.745 0.624
P2 0.410 0.693 0.145
P3 0.894 0.255 0.376
P4 0.590 0.307 0.855
Mg1 0.500 0.500 0.500

Calculated values
- M_tot (μB/f.u.) = 18.00
- mass density (g cm⁻³) = 2.733
- total DFT energy (no corrections) (eV per formula unit) = -175.84